Below is CaMnBi2F after structural relaxation, with properties calculated at the GGA+U level.

```
CaMnBi2F
1.0
5.183 0.000 0.000
0.000 6.185 0.000
0.000 0.000 5.183
Ca Mn Bi F
1 1 2 1
Cartesian
0.000 3.093 0.000 Ca
0.000 0.000 0.000 Mn
0.000 0.000 2.591 Bi
2.591 0.000 0.000 Bi
2.591 3.093 2.591 F
```

Results
Volume, Å³/atom: 33.23
E, eV/atom: -3.95